LaTc | the Alexandria database | PBE | relaxed; total magnetization = 0.00 Bohr magnetons per cell; V = 26.13 Å³ per atom; energy relative to the lowest polymorph listed for this composition = 0.066 eV per atom; calculated total energy = -7.550 eV/atom
1.0
4.149 0.000 0.000
0.000 5.820 0.000
0.000 0.000 8.657
La Tc
4 4
Direct
0.250 0.589 0.176
0.750 0.089 0.324
0.250 0.911 0.676
0.750 0.411 0.824
0.250 0.083 0.040
0.750 0.583 0.460
0.250 0.417 0.540
0.750 0.917 0.960


La7Tc | the Alexandria database | PBE | relaxed; total magnetization = 0.10 Bohr magnetons per cell; V = 31.51 Å³ per atom; calculated total energy = -5.349 eV/atom
1.0
2.229 -5.251 4.212
0.014 0.863 7.038
-4.650 -3.541 4.016
La Tc
7 1
Direct
0.000 0.500 0.500
0.500 0.000 0.500
0.500 0.500 0.000
0.000 0.000 0.500
0.000 0.500 0.000
0.500 0.000 0.000
0.500 0.500 0.500
0.000 0.000 0.000


La4Tc5 | the Alexandria database | PBE | relaxed; total magnetization = 0.00 Bohr magnetons per cell; V = 21.35 Å³ per atom; energy relative to the lowest polymorph listed for this composition = 0.153 eV per atom; calculated total energy = -7.319 eV/atom
1.0
8.376 0.000 0.000
4.188 7.254 0.000
0.000 0.000 6.324
Tc La
10 8
Direct
0.322 0.678 0.250
0.000 0.322 0.250
0.678 0.000 0.250
0.678 0.322 0.750
0.000 0.678 0.750
0.322 0.000 0.750
0.333 0.333 0.000
0.667 0.667 0.500
0.667 0.667 0.000
0.333 0.333 0.500
0.000 0.000 0.000
0.000 0.000 0.500
0.626 0.374 0.250
0.000 0.626 0.250
0.374 0.000 0.250
0.374 0.626 0.750
0.000 0.374 0.750
0.626 0.000 0.750


LaTc | the Alexandria database | PBE | relaxed; total magnetization = 0.01 Bohr magnetons per cell; V = 22.80 Å³ per atom; energy relative to the lowest polymorph listed for this composition = 0.590 eV per atom; calculated total energy = -7.026 eV/atom
1.0
3.466 0.000 0.000
-1.733 3.002 0.000
0.000 0.000 8.766
La Tc
2 2
Direct
0.000 0.000 0.000
0.000 0.000 0.500
0.333 0.667 0.250
0.667 0.333 0.750


LaTc | the Alexandria database | PBE | relaxed; total magnetization = 0.00 Bohr magnetons per cell; V = 26.44 Å³ per atom; energy relative to the lowest polymorph listed for this composition = 1.336 eV per atom; calculated total energy = -6.280 eV/atom
1.0
-0.832 0.930 4.024
-3.975 0.661 1.231
-1.941 -2.820 2.456
La Tc
1 1
Direct
0.000 0.000 0.000
0.750 0.750 0.750


La5Tc | the Alexandria database | PBE | relaxed; total magnetization = 0.00 Bohr magnetons per cell; V = 34.17 Å³ per atom; energy relative to the lowest polymorph listed for this composition = 0.138 eV per atom; calculated total energy = -5.637 eV/atom
1.0
1.921 -3.327 0.000
1.921 3.327 0.000
0.000 0.000 16.043
La Tc
5 1
Direct
0.000 0.000 0.613
0.000 0.000 0.000
0.000 0.000 0.387
0.667 0.333 0.814
0.667 0.333 0.186
0.667 0.333 0.500


LaTc2 | the Alexandria database | PBE | relaxed; total magnetization = 0.00 Bohr magnetons per cell; V = 22.70 Å³ per atom; energy relative to the lowest polymorph listed for this composition = 0.306 eV per atom; calculated total energy = -8.208 eV/atom
1.0
-4.994 -6.119 -13.135
-3.859 -11.058 -9.886
1.606 8.632 12.562
Tc La
8 4
Direct
0.751 0.751 0.000
0.249 0.249 0.000
0.001 0.501 0.500
0.499 0.999 0.500
0.547 0.547 0.000
0.453 0.453 0.000
0.797 0.297 0.500
0.703 0.203 0.500
0.919 0.919 0.000
0.081 0.081 0.000
0.169 0.669 0.500
0.331 0.831 0.500


LaTc | the Alexandria database | PBE | relaxed; total magnetization = 0.00 Bohr magnetons per cell; V = 26.13 Å³ per atom; energy relative to the lowest polymorph listed for this composition = 0.236 eV per atom; calculated total energy = -7.380 eV/atom
1.0
-2.056 -1.976 -1.656
-0.420 -2.362 3.340
-4.946 5.286 3.116
La Tc
2 2
Direct
0.888 0.250 0.775
0.112 0.750 0.225
0.724 0.250 0.448
0.276 0.750 0.552


no.,energy relative to the elements (eV per atom)
1,0.097
2,0.259
3,0.630
4,0.621
5,1.366
6,0.197
7,0.345
8,0.267